# 1
{"formula": "MgInHg6", "functional": "GGA-PBE", "state": "optimized geometry", "lattice_angstrom": [[4.707, -7.156, 0.000], [4.707, 7.156, 0.000], [0.000, 0.000, 7.018]], "species": ["Mg", "Mg", "In", "In", "Hg", "Hg", "Hg", "Hg", "Hg", "Hg", "Hg", "Hg", "Hg", "Hg", "Hg", "Hg"], "fractional_positions": [[0.250, 0.250, 0.000], [0.750, 0.750, 0.000], [0.250, 0.750, 0.571], [0.750, 0.250, 0.429], [0.038, 0.317, 0.722], [0.084, 0.916, 0.825], [0.183, 0.462, 0.278], [0.317, 0.038, 0.278], [0.416, 0.584, 0.825], [0.462, 0.183, 0.722], [0.538, 0.817, 0.278], [0.584, 0.416, 0.175], [0.683, 0.962, 0.722], [0.817, 0.538, 0.722], [0.916, 0.084, 0.175], [0.962, 0.683, 0.278]], "e_form_ev_per_atom": 0.012, "polymorph_energy_mev_per_atom": 35, "rho_g_cm3": 9.43}


# 2
{"formula": "MgIn2Hg", "functional": "GGA-PBE", "state": "optimized geometry", "lattice_angstrom": [[4.771, -1.768, 0.000], [4.771, 1.768, 0.000], [-1.358, 0.000, 5.838]], "species": ["Mg", "In", "In", "Hg"], "fractional_positions": [[0.000, 0.000, 0.000], [0.249, 0.249, 0.736], [0.493, 0.493, 0.476], [0.741, 0.741, 0.204]], "e_form_ev_per_atom": -0.049, "rho_g_cm3": 7.66}